Entry from Alexandria via LeMat-Bulk: an optimized crystal structure of YCrAs2 (PBE).

Computed properties:
energy of formation	-2.33	eV per formula unit
space group	P4/mmm (123)

Cell lengths 3.947, 3.945, 5.592 Å; angles 90.00, 90.00, 90.00 degrees
Fractional positions:
As  0.000  0.000  0.875
As  0.500  0.500  0.375
Cr  0.000  0.000  0.375
Y  0.500  0.500  0.875

***

Entry from Alexandria via LeMat-Bulk: an optimized crystal structure of YAgN2O (PBE).

Computed properties:
formation energy (no corrections)	2.73	eV per formula unit
space group	P4/mmm (123)

Cell lengths 4.616, 4.616, 4.345 Å; angles 90.00, 90.00, 90.00 degrees
Fractional positions:
Y  0.000  0.000  0.000
O  0.000  0.000  0.500
Ag  0.500  0.500  0.500
N  0.000  0.500  0.000
N  0.500  0.000  0.000

***

no.,calculated density (g/cm³)
1,5.54
2,4.32